A geometry-optimized CsScI3 structure. Source: Alexandria via LeMat-Bulk, functional PBE-GGA.

The structure belongs to space group C2/m (No. 12); the cell edges are 22.9923, 4.2664 and 10.3013 Å and the angles 90.00°, 92.33° and 90.00°. The inequivalent atoms are Cs at (0.1323, 0.0000, 0.4019), Sc at (0.1086, 0.5000, 0.8318), I at (0.0342, 0.0000, 0.7099), I at (0.1325, 0.0000, 0.0251) and I at (0.2042, 0.5000, 0.6650).

For the electronic total energy, the calculation gives -0.129 hartree per atom. The value obtained for the formation energy from raw total energies is -1.14 eV/atom.